DFT (GGA-PBE) results for crystalline LaMgTl2Mo at its relaxed geometry.

The structure belongs to space group P4/mmm (No. 123); the cell edges are 5.497, 5.497 and 5.208 Å and the angles 90.00°, 90.00° and 90.00°. The distinct sites, in fractional coordinates, are La at (0.000, 0.000, 0.000), Mg at (0.500, 0.500, 0.000), Tl at (0.000, 0.500, 0.500) and Mo at (0.000, 0.000, 0.500).

The energy of formation is 0.3585 eV/atom.